Record 1
Compound: La2CdPd9
Source: the Alexandria database
Functional: PBE
Structure: relaxed

a b c (Å): 4.2000 4.2000 12.3041
angles (deg): 90.00 90.00 90.00
Atoms (fractional coordinates):
La1 0.0000 0.0000 0.1752
La2 0.0000 0.0000 0.8248
Cd1 0.0000 0.0000 0.5000
Pd1 0.0000 0.5000 0.0000
Pd2 0.0000 0.5000 0.3434
Pd3 0.0000 0.5000 0.6566
Pd4 0.5000 0.0000 0.0000
Pd5 0.5000 0.0000 0.3434
Pd6 0.5000 0.0000 0.6566
Pd7 0.5000 0.5000 0.1704
Pd8 0.5000 0.5000 0.5000
Pd9 0.5000 0.5000 0.8296

Total moment in μB/atom: 0.00
ΔE_f in kJ/mol of formula units: -699
ΔE to the lowest computed polymorph in meV per atom: 0

Record 2
Compound: Tb2Ge4Rh3Au
Source: the Alexandria database
Functional: PBE
Structure: relaxed

a b c (Å): 4.2503 4.2503 10.2385
angles (deg): 90.00 90.00 90.00
Atoms (fractional coordinates):
Tb1 0.0000 0.5000 0.2379
Tb2 0.5000 0.0000 0.7621
Ge1 0.0000 0.0000 0.0000
Ge2 0.0000 0.5000 0.6425
Ge3 0.5000 0.0000 0.3575
Ge4 0.5000 0.5000 0.0000
Rh1 0.0000 0.5000 0.8762
Rh2 0.5000 0.0000 0.1238
Rh3 0.5000 0.5000 0.5000
Au1 0.0000 0.0000 0.5000

Total moment in μB/atom: 0.00
ΔE_f in kJ/mol of formula units: -716

Record 3
Compound: Mn2CoRe
Source: the Alexandria database
Functional: PBE
Structure: relaxed

a b c (Å): 6.2444 6.2444 6.2444
angles (deg): 131.13 131.13 71.60
Atoms (fractional coordinates):
Mn1 0.0942 0.6250 0.9692
Mn2 0.3750 0.3442 0.4692
Mn3 0.6558 0.1250 0.0308
Mn4 0.8750 0.9058 0.5308
Co1 0.0000 0.0000 0.0000
Co2 0.7500 0.2500 0.5000
Re1 0.2500 0.7500 0.5000
Re2 0.5000 0.5000 0.0000

Total moment in μB/atom: 0.50
ΔE_f in kJ/mol of formula units: 532

Record 4
Compound: RbTcNi2Ge
Source: the Alexandria database
Functional: PBE
Structure: relaxed

a b c (Å): 4.6190 4.6190 4.8018
angles (deg): 90.00 90.00 90.00
Atoms (fractional coordinates):
Rb1 0.0000 0.0000 0.0000
Tc1 0.5000 0.5000 0.0000
Ni1 0.0000 0.5000 0.5000
Ni2 0.5000 0.0000 0.5000
Ge1 0.5000 0.5000 0.5000

Total moment in μB/atom: 0.36
ΔE_f in kJ/mol of formula units: 442

Record 5
Compound: Sr2TcPO
Source: the Alexandria database
Functional: PBE
Structure: relaxed

a b c (Å): 5.1537 5.1537 3.9670
angles (deg): 90.00 90.00 90.00
Atoms (fractional coordinates):
Sr1 0.0000 0.5000 0.0000
Sr2 0.5000 0.0000 0.0000
Tc1 0.0000 0.0000 0.5000
P1 0.5000 0.5000 0.5000
O1 0.0000 0.0000 0.0000

Total moment in μB/atom: 0.00
Uncorrected formation energy in eV per atom: -0.79

Record 6
Compound: DyHoRhPb
Source: the Alexandria database
Functional: PBE
Structure: relaxed

a b c (Å): 5.1347 5.1347 5.1347
angles (deg): 60.00 60.00 60.00
Atoms (fractional coordinates):
Dy1 0.0000 0.0000 0.0000
Ho1 0.5000 0.5000 0.5000
Rh1 0.7500 0.7500 0.7500
Pb1 0.2500 0.2500 0.2500

Total moment in μB/atom: 0.00
ΔE_f in kJ/mol of formula units: -201
ΔE to the lowest computed polymorph in meV per atom: 169

| no. | DFT total energy (eV per atom) |
| --- | --- |
| 1 | -5.40 |
| 2 | -6.05 |
| 3 | -8.09 |
| 4 | -4.59 |
| 5 | -5.61 |
| 6 | -5.58 |